Entry 1:
Crystalline ReRu2Au at its relaxed geometry, computed with PBE-GGA.

- energy above the lowest structure with this stoichiometry (eV per formula unit) = 1.739
- density of states at the Fermi level (states/eV per atom) = 1.231
- formation energy from the elements (eV/atom) = 0.5739

```
ReRu2Au
1.0
4.660 0.000 0.000
0.000 4.660 0.000
0.000 0.000 2.831
Re Ru Au
1 2 1
Direct
0.000 0.000 0.000
0.000 0.500 0.500
0.500 0.000 0.500
0.500 0.500 0.000
```

***

Entry 2:
Crystalline LaNi4Au8 at its relaxed geometry, computed with PBE-GGA.

- density of states at the Fermi level (states/eV per atom) = 0.756
- formation energy from the elements (eV/atom) = -0.2163

```
LaNi4Au8
1.0
-4.569 4.569 2.663
4.569 -4.569 2.663
4.569 4.569 -2.663
La Ni Au
1 4 8
Direct
0.000 0.000 0.000
0.000 0.000 0.500
0.000 0.500 0.000
0.500 0.000 0.000
0.500 0.500 0.500
0.000 0.337 0.337
0.000 0.663 0.663
0.279 0.500 0.779
0.337 0.000 0.337
0.500 0.279 0.779
0.500 0.721 0.221
0.663 0.000 0.663
0.721 0.500 0.221
```

***

Entry 3:
Crystalline Tb4Pb2F at its relaxed geometry, computed with PBE-GGA.

- density of states at the Fermi level (states/eV per atom) = 0.912
- formation energy (no corrections) (eV per atom) = -0.97

```
Tb4Pb2F
1.0
-2.305 2.305 8.905
2.305 -2.305 8.905
2.305 2.305 -8.905
Tb Pb F
4 2 1
Direct
0.000 0.500 0.500
0.187 0.187 0.000
0.500 0.000 0.500
0.813 0.813 0.000
0.367 0.367 0.000
0.633 0.633 0.000
0.000 0.000 0.000
```

***

Entry 4:
Crystalline P2S4Br3 at its relaxed geometry, computed with PBE-GGA.

- density of states at the Fermi level (states/eV per atom) = 0.299
- formation energy (no corrections) (eV per atom) = 0.06

```
P2S4Br3
1.0
8.185 -3.515 0.000
8.185 3.515 0.000
-2.352 0.000 10.636
P S Br
4 8 6
Direct
0.026 0.352 0.488
0.352 0.026 0.988
0.648 0.974 0.012
0.974 0.648 0.512
0.178 0.196 0.327
0.196 0.178 0.827
0.272 0.540 0.541
0.460 0.728 0.959
0.540 0.272 0.041
0.728 0.460 0.459
0.804 0.822 0.173
0.822 0.804 0.673
0.141 0.568 0.103
0.328 0.672 0.750
0.432 0.859 0.397
0.568 0.141 0.603
0.672 0.328 0.250
0.859 0.432 0.897
```

***

Entry 5:
Crystalline Nd6SmCd5 at its relaxed geometry, computed with PBE-GGA.

- density of states at the Fermi level (states/eV per atom) = 1.397
- formation energy from the elements (eV/atom) = -0.2236

```
Nd6SmCd5
1.0
-2.731 3.919 8.263
2.731 -3.919 8.263
2.731 3.919 -8.263
Nd Sm Cd
6 1 5
Direct
0.071 0.329 0.743
0.231 0.000 0.231
0.414 0.671 0.743
0.586 0.329 0.257
0.769 0.000 0.769
0.929 0.671 0.257
0.500 0.500 0.000
0.000 0.500 0.500
0.169 0.169 0.000
0.344 0.844 0.500
0.656 0.156 0.500
0.831 0.831 0.000
```

***

Entry 6:
Crystalline CaCoMo2 at its relaxed geometry, computed with PBE-GGA.

- energy above the lowest structure with this stoichiometry (eV per formula unit) = 0.811
- density of states at the Fermi level (states/eV per atom) = 1.221
- formation energy from the elements (eV/atom) = 0.6272

```
CaCoMo2
1.0
0.000 3.194 3.194
3.194 0.000 3.194
3.194 3.194 0.000
Ca Co Mo
1 1 2
Direct
0.000 0.000 0.000
0.250 0.250 0.250
0.500 0.500 0.500
0.750 0.750 0.750
```

***

Entry 7:
Crystalline K4CoRh3Se8 at its relaxed geometry, computed with PBE-GGA.

- formation energy (no corrections) (eV per atom) = -0.68

```
K4CoRh3Se8
1.0
3.861 2.229 7.130
-3.861 2.229 7.130
0.000 -4.458 7.130
K Co Rh Se
4 1 3 8
Direct
0.000 0.000 0.000
0.000 0.500 0.500
0.500 0.000 0.500
0.500 0.500 0.000
0.500 0.500 0.500
0.000 0.000 0.500
0.000 0.500 0.000
0.500 0.000 0.000
0.223 0.223 0.223
0.231 0.717 0.717
0.283 0.283 0.769
0.283 0.769 0.283
0.717 0.231 0.717
0.717 0.717 0.231
0.769 0.283 0.283
0.777 0.777 0.777
```

***

Entry 8:
Crystalline CsSi3Os at its relaxed geometry, computed with PBE-GGA.

- energy above the lowest structure with this stoichiometry (eV per formula unit) = 14.319
- density of states at the Fermi level (states/eV per atom) = 1.669
- formation energy (no corrections) (eV per atom) = 3.36

```
CsSi3Os
1.0
5.110 0.000 0.000
0.000 5.110 0.000
0.000 0.000 5.110
Cs Si Os
1 3 1
Direct
0.000 0.000 0.000
0.000 0.000 0.500
0.000 0.500 0.000
0.500 0.000 0.000
0.500 0.500 0.500
```

***

DFT total energy (computed, Ry/atom): -0.5877, -0.3227, -0.3636, -0.2599, -0.2486, -0.5193, -0.3321, -0.1697
Calculated density (computed, Mg/m³): 15.8, 14.6, 9.4, 2.3, 7.4, 7.4, 5.2, 5.1